The following is a PBE calculation of YMn2Re after structural relaxation, from Alexandria via LeMat-Bulk. Values from VASP.

Properties
**Energy of formation**: 1.5 eV per formula unit
**Space-group type**: No. 44
**Energy above the lowest structure with this stoichiometry**: 230 meV/atom

Cell and atoms, written as Quantum ESPRESSO input:
```
&SYSTEM
  ibrav = 0, nat = 4, ntyp = 3
/
ATOMIC_SPECIES
Y 88.91 Y.upf
Mn 54.94 Mn.upf
Re 186.21 Re.upf
CELL_PARAMETERS angstrom
-1.546 2.288 4.617
1.546 -2.288 4.617
1.546 2.288 -4.617
ATOMIC_POSITIONS crystal
Y 0.000 0.000 0.000
Mn 0.277 0.777 0.500
Mn 0.514 0.514 0.000
Re 0.724 0.224 0.500
```

The following is a PBE calculation of MnGaSiS after structural relaxation, from Alexandria via LeMat-Bulk. Values from VASP.

Properties
**Space-group type**: No. 8
**Energy above the lowest structure with this stoichiometry**: 4 meV/atom

Cell and atoms, written as Quantum ESPRESSO input:
```
&SYSTEM
  ibrav = 0, nat = 4, ntyp = 4
/
ATOMIC_SPECIES
Mn 54.94 Mn.upf
Ga 69.72 Ga.upf
Si 28.09 Si.upf
S 32.06 S.upf
CELL_PARAMETERS angstrom
4.498 -1.467 0.000
4.498 1.467 0.000
-2.575 0.000 4.270
ATOMIC_POSITIONS crystal
Mn 0.000 0.000 0.000
Ga 0.307 0.307 0.514
Si 0.686 0.686 0.885
S 0.506 0.506 0.330
```

The following is a PBE calculation of CrWCl2 after structural relaxation, from Alexandria via LeMat-Bulk. Values from VASP.

Properties
**Space-group type**: No. 216
**Energy above the lowest structure with this stoichiometry**: 1271 meV/atom

Cell and atoms, written as Quantum ESPRESSO input:
```
&SYSTEM
  ibrav = 0, nat = 4, ntyp = 3
/
ATOMIC_SPECIES
Cr 52.00 Cr.upf
W 183.84 W.upf
Cl 35.45 Cl.upf
CELL_PARAMETERS angstrom
0.000 3.227 3.227
3.227 0.000 3.227
3.227 3.227 0.000
ATOMIC_POSITIONS crystal
Cr 0.000 0.000 0.000
W 0.750 0.750 0.750
Cl 0.250 0.250 0.250
Cl 0.500 0.500 0.500
```

The following is a PBE calculation of Tb2Zn4Ga3Cu after structural relaxation, from Alexandria via LeMat-Bulk. Values from VASP.

Properties
**Energy of formation**: -3.9 eV per formula unit
**Space-group type**: No. 115

Cell and atoms, written as Quantum ESPRESSO input:
```
&SYSTEM
  ibrav = 0, nat = 10, ntyp = 4
/
ATOMIC_SPECIES
Tb 158.93 Tb.upf
Zn 65.41 Zn.upf
Ga 69.72 Ga.upf
Cu 63.55 Cu.upf
CELL_PARAMETERS angstrom
4.170 0.000 0.000
0.000 4.170 0.000
0.000 0.000 10.473
ATOMIC_POSITIONS crystal
Tb 0.000 0.500 0.246
Tb 0.500 0.000 0.754
Zn 0.000 0.000 0.500
Zn 0.000 0.500 0.871
Zn 0.500 0.000 0.129
Zn 0.500 0.500 0.500
Ga 0.000 0.000 0.000
Ga 0.000 0.500 0.641
Ga 0.500 0.000 0.359
Cu 0.500 0.500 0.000
```

The following is a PBE calculation of PmTl2GeTe4 after structural relaxation, from Alexandria via LeMat-Bulk. Values from VASP.

Properties
**E_tot**: -0.1432 hartree per atom
**Space-group type**: No. 10

Cell and atoms, written as Quantum ESPRESSO input:
```
&SYSTEM
  ibrav = 0, nat = 8, ntyp = 4
/
ATOMIC_SPECIES
Pm 145.00 Pm.upf
Tl 204.38 Tl.upf
Ge 72.64 Ge.upf
Te 127.60 Te.upf
CELL_PARAMETERS angstrom
7.856 0.000 0.000
0.000 4.462 0.000
-2.647 0.000 7.707
ATOMIC_POSITIONS crystal
Pm 0.000 0.000 0.000
Tl 0.000 0.500 0.500
Tl 0.500 0.000 0.500
Ge 0.500 0.500 0.000
Te 0.252 0.500 0.219
Te 0.269 0.000 0.785
Te 0.731 0.000 0.215
Te 0.748 0.500 0.781
```

The following is a PBE calculation of YNb2Re after structural relaxation, from Alexandria via LeMat-Bulk. Values from VASP.

Properties
**Energy of formation**: 0.8 eV per formula unit
**Space-group type**: No. 225
**Energy above the lowest structure with this stoichiometry**: 0 meV/atom

Cell and atoms, written as Quantum ESPRESSO input:
```
&SYSTEM
  ibrav = 0, nat = 4, ntyp = 3
/
ATOMIC_SPECIES
Y 88.91 Y.upf
Nb 92.91 Nb.upf
Re 186.21 Re.upf
CELL_PARAMETERS angstrom
0.000 3.347 3.347
3.347 0.000 3.347
3.347 3.347 0.000
ATOMIC_POSITIONS crystal
Y 0.000 0.000 0.000
Nb 0.250 0.250 0.250
Nb 0.750 0.750 0.750
Re 0.500 0.500 0.500
```

The following is a PBE calculation of Dy2Tl3SbS6 after structural relaxation, from Alexandria via LeMat-Bulk. Values from VASP.

Properties
**E_tot**: -0.1789 hartree per atom
**Space-group type**: No. 12

Cell and atoms, written as Quantum ESPRESSO input:
```
&SYSTEM
  ibrav = 0, nat = 12, ntyp = 4
/
ATOMIC_SPECIES
Dy 162.50 Dy.upf
Tl 204.38 Tl.upf
Sb 121.76 Sb.upf
S 32.06 S.upf
CELL_PARAMETERS angstrom
3.502 -6.066 0.000
3.502 6.066 0.000
-2.335 0.000 7.476
ATOMIC_POSITIONS crystal
Dy 0.167 0.833 0.000
Dy 0.833 0.167 0.000
Tl 0.000 0.000 0.500
Tl 0.333 0.667 0.500
Tl 0.667 0.333 0.500
Sb 0.500 0.500 0.000
S 0.099 0.434 0.802
S 0.232 0.232 0.199
S 0.434 0.099 0.802
S 0.566 0.901 0.198
S 0.768 0.768 0.801
S 0.901 0.566 0.198
```

The following is a PBE calculation of LuScTi2 after structural relaxation, from Alexandria via LeMat-Bulk. Values from VASP.

Properties
**Energy of formation**: 0.8 eV per formula unit
**Space-group type**: No. 123

Cell and atoms, written as Quantum ESPRESSO input:
```
&SYSTEM
  ibrav = 0, nat = 4, ntyp = 3
/
ATOMIC_SPECIES
Lu 174.97 Lu.upf
Sc 44.96 Sc.upf
Ti 47.87 Ti.upf
CELL_PARAMETERS angstrom
4.417 0.000 0.000
0.000 4.417 0.000
0.000 0.000 4.398
ATOMIC_POSITIONS crystal
Lu 0.000 0.000 0.000
Sc 0.500 0.500 0.000
Ti 0.000 0.500 0.500
Ti 0.500 0.000 0.500
```

The following is a PBE calculation of K3Sc2GaO6 after structural relaxation, from Alexandria via LeMat-Bulk. Values from VASP.

Properties
**E_tot**: -0.2361 hartree per atom
**Space-group type**: No. 12

Cell and atoms, written as Quantum ESPRESSO input:
```
&SYSTEM
  ibrav = 0, nat = 12, ntyp = 4
/
ATOMIC_SPECIES
K 39.10 K.upf
Sc 44.96 Sc.upf
Ga 69.72 Ga.upf
O 16.00 O.upf
CELL_PARAMETERS angstrom
2.772 -4.802 0.000
2.772 4.802 0.000
-1.848 0.000 6.143
ATOMIC_POSITIONS crystal
K 0.000 0.000 0.000
K 0.334 0.666 0.000
K 0.666 0.334 0.000
Sc 0.167 0.833 0.500
Sc 0.833 0.167 0.500
Ga 0.500 0.500 0.500
O 0.116 0.441 0.323
O 0.234 0.234 0.677
O 0.441 0.116 0.323
O 0.559 0.884 0.677
O 0.766 0.766 0.323
O 0.884 0.559 0.677
```

The following is a PBE calculation of Sr2TaTcI after structural relaxation, from Alexandria via LeMat-Bulk. Values from VASP.

Properties
**E_tot**: -0.1861 hartree per atom
**Space-group type**: No. 123

Cell and atoms, written as Quantum ESPRESSO input:
```
&SYSTEM
  ibrav = 0, nat = 5, ntyp = 4
/
ATOMIC_SPECIES
Sr 87.62 Sr.upf
Ta 180.95 Ta.upf
Tc 98.00 Tc.upf
I 126.90 I.upf
CELL_PARAMETERS angstrom
6.248 0.000 0.000
0.000 6.248 0.000
0.000 0.000 4.595
ATOMIC_POSITIONS crystal
Sr 0.000 0.500 0.000
Sr 0.500 0.000 0.000
Ta 0.000 0.000 0.500
Tc 0.000 0.000 0.000
I 0.500 0.500 0.500
```

The following is a PBE calculation of LiVTePb2 after structural relaxation, from Alexandria via LeMat-Bulk. Values from VASP.

Properties
**E_tot**: -0.1426 hartree per atom
**Space-group type**: No. 123

Cell and atoms, written as Quantum ESPRESSO input:
```
&SYSTEM
  ibrav = 0, nat = 5, ntyp = 4
/
ATOMIC_SPECIES
Li 6.94 Li.upf
V 50.94 V.upf
Te 127.60 Te.upf
Pb 207.20 Pb.upf
CELL_PARAMETERS angstrom
5.375 0.000 0.000
0.000 5.375 0.000
0.000 0.000 5.160
ATOMIC_POSITIONS crystal
Li 0.000 0.000 0.000
V 0.000 0.000 0.500
Te 0.500 0.500 0.000
Pb 0.000 0.500 0.500
Pb 0.500 0.000 0.500
```

The following is a PBE calculation of TiTl5Te4 after structural relaxation, from Alexandria via LeMat-Bulk. Values from VASP.

Properties
**Space-group type**: No. 59
**Energy above the lowest structure with this stoichiometry**: 6 meV/atom

Cell and atoms, written as Quantum ESPRESSO input:
```
&SYSTEM
  ibrav = 0, nat = 20, ntyp = 3
/
ATOMIC_SPECIES
Ti 47.87 Ti.upf
Tl 204.38 Tl.upf
Te 127.60 Te.upf
CELL_PARAMETERS angstrom
9.251 0.000 0.000
0.000 11.061 0.000
0.000 0.000 7.486
ATOMIC_POSITIONS crystal
Ti 0.250 0.250 0.136
Ti 0.750 0.750 0.864
Tl 0.060 0.560 0.285
Tl 0.060 0.940 0.285
Tl 0.250 0.750 0.937
Tl 0.440 0.560 0.285
Tl 0.440 0.940 0.285
Tl 0.560 0.060 0.715
Tl 0.560 0.440 0.715
Tl 0.750 0.250 0.063
Tl 0.940 0.060 0.715
Tl 0.940 0.440 0.715
Te 0.022 0.250 0.345
Te 0.250 0.060 0.922
Te 0.250 0.440 0.922
Te 0.478 0.250 0.345
Te 0.522 0.750 0.655
Te 0.750 0.560 0.078
Te 0.750 0.940 0.078
Te 0.978 0.750 0.655
```

no.,density (kg/m3)
1,9789
2,5447
3,7582
4,7772
5,6988
6,10206
7,6546
8,6110
9,3787
10,5379
11,6681
12,6851